AlTeBrN2 | PBE-GGA | relaxed

Properties
Relative energy among the computed polymorphs: 471 kJ/mol of formula units
DFT total energy: -0.232 Ry per atom
ρ: 3.62 g/cm³

Cell: 3.949 3.949 7.714 Å, 90.00 90.00 90.00°
Space group P4/mmm (No. 123)
Unique sites:
Al  0.000  0.000  0.000
Te  0.500  0.500  0.000
Br  0.500  0.500  0.500
N  0.000  0.500  0.500

=====

YAlBr2N | PBE-GGA | relaxed

Properties
DFT total energy: -0.332 Ry per atom
ρ: 3.82 g/cm³

Cell: 6.086 6.086 3.398 Å, 90.00 90.00 90.00°
Space group P4/mmm (No. 123)
Unique sites:
Y  0.000  0.000  0.000
Al  0.500  0.500  0.000
Br  0.000  0.500  0.500
N  0.500  0.500  0.500

=====

NaAl2Br6 | PBE-GGA | relaxed

Properties
DFT total energy: -0.232 Ry per atom
ρ: 2.63 g/cm³

Cell: 7.1756 7.1756 23.6097 Å, 90.00 90.00 120.00°
Space group R3 (No. 146, hexagonal axes)
Unique sites:
Na  0.0000  0.0000  0.0000
Al  0.0000  0.0000  0.2740
Al  0.0000  0.0000  0.3919
Br  0.0280  0.3471  0.0819
Br  0.0303  0.6851  0.9173

=====

Na2AlBr | PBE-GGA | relaxed

Properties
Relative energy among the computed polymorphs: 59 kJ/mol of formula units
DFT total energy: -0.157 Ry per atom
ρ: 2.20 g/cm³

Cell: 7.725 7.725 7.725 Å, 90.00 90.00 90.00°
Space group Fm-3m (No. 225)
Unique sites:
Na  0.250  0.250  0.250
Al  0.000  0.000  0.000
Br  0.000  0.000  0.500

=====

| no. | formation energy (no corrections) (meV per atom) |
| --- | --- |
| 1 | 1888 |
| 2 | -145 |
| 3 | -1061 |
| 4 | -123 |